# Sm5TlHg6

A relaxed structure of Sm5TlHg6 (GGA-PBE, Alexandria).

Structure (POSCAR):
```
Sm5TlHg6
1.0
-2.619 3.869 8.050
2.619 -3.869 8.050
2.619 3.869 -8.050
Sm Tl Hg
5 1 6
Direct
0.000 0.000 0.000
0.178 0.678 0.500
0.358 0.358 0.000
0.642 0.642 0.000
0.822 0.322 0.500
0.500 0.000 0.500
0.063 0.827 0.236
0.221 0.500 0.721
0.409 0.173 0.236
0.591 0.827 0.764
0.779 0.500 0.279
0.937 0.173 0.764
```

Values from the calculation:
SG: Immm, No. 71
E, eV per atom: -2.743
DOS at the Fermi energy, states/eV/atom: 0.920



# La2CeNdY6

A relaxed structure of La2CeNdY6 (GGA-PBE, Alexandria).

Structure (POSCAR):
```
La2CeNdY6
1.0
5.806 -3.373 0.000
5.806 3.373 0.000
-3.065 0.000 8.694
La Ce Nd Y
2 1 1 6
Direct
0.081 0.081 0.168
0.919 0.919 0.832
0.500 0.500 0.000
0.000 0.000 0.500
0.065 0.575 0.195
0.369 0.369 0.580
0.425 0.935 0.805
0.575 0.065 0.195
0.631 0.631 0.420
0.935 0.425 0.805
```

Values from the calculation:
SG: C2/m, No. 12
E, eV per atom: -5.707
DOS at the Fermi energy, states/eV/atom: 2.019



# BaGdEr2

A relaxed structure of BaGdEr2 (GGA-PBE, Alexandria).

Structure (POSCAR):
```
BaGdEr2
1.0
1.840 1.063 12.147
-1.840 1.063 12.147
0.000 -2.125 12.147
Ba Gd Er
1 1 2
Direct
0.000 0.000 0.000
0.500 0.500 0.500
0.243 0.243 0.243
0.757 0.757 0.757
```

Values from the calculation:
SG: R-3m, No. 166
E, eV per atom: -6.103
DOS at the Fermi energy, states/eV/atom: 1.540



# Rb2NaNbRe

A relaxed structure of Rb2NaNbRe (GGA-PBE, Alexandria).

Structure (POSCAR):
```
Rb2NaNbRe
1.0
6.963 0.000 0.000
0.000 6.963 0.000
0.000 0.000 4.687
Rb Na Nb Re
2 1 1 1
Direct
0.000 0.500 0.000
0.500 0.000 0.000
0.000 0.000 0.500
0.500 0.500 0.500
0.500 0.500 0.000
```

Values from the calculation:
SG: P4/mmm, No. 123
E, eV per atom: -3.839
DOS at the Fermi energy, states/eV/atom: 0.804